No. 1
Here is Na2SbMo after structural relaxation from the Alexandria database. Energies are from GGA-PBE.

Results
The symmetry is No. 122. The energy is -3.6523 eV/atom. The calculated volume comes out at 110 Å³/f.u. The calculation puts the formation energy without anion corrections at 0.746 eV per atom.

The structure in extended XYZ format:
```
8
Lattice="-4.706 2.292 -7.262 5.714 -4.579 -5.148 -1.034 -3.387 -5.917" Properties=species:S:1:pos:R:3 pbc="T T T"
Sb 0.000 0.000 0.000
Sb -2.617 -1.119 -9.691
Mo 0.504 -1.143 -6.205
Mo 2.593 -4.555 -8.635
Na -2.556 0.048 -6.771
Na 2.796 -3.457 -5.495
Na -0.483 -3.328 -9.013
Na 0.194 -4.611 -15.374
```


No. 2
Here is HoNi2P after structural relaxation from the Alexandria database. Energies are from GGA-PBE.

Results
The symmetry is No. 129. The energy is -6.1667 eV/atom. The calculation puts the formation energy at -3.12 eV/f.u. The calculated volume comes out at 61 Å³/f.u.

The structure in extended XYZ format:
```
8
Lattice="-3.426 -0.605 1.312 -0.736 -2.176 -2.924 2.935 -6.973 4.451" Properties=species:S:1:pos:R:3 pbc="T T T"
Ho -1.054 -1.868 1.656
Ho 1.908 -6.495 1.990
Ni 0.967 -6.669 4.720
Ni -0.112 -1.694 -1.075
Ni 1.468 -3.487 2.226
Ni -0.613 -4.877 1.420
P 0.201 -4.851 3.559
P 0.653 -3.513 0.086
```


No. 3
Here is ZrZnP after structural relaxation from the Alexandria database. Energies are from GGA-PBE.

Results
The symmetry is No. 216. The energy is -5.3361 eV/atom. The calculation puts the formation energy at -0.78 eV/f.u. The calculated volume comes out at 56 Å³/f.u.

The structure in extended XYZ format:
```
3
Lattice="-2.426 -2.292 2.697 -4.182 0.875 0.395 -2.920 -2.740 -1.542" Properties=species:S:1:pos:R:3 pbc="T T T"
Zr -4.764 -2.079 0.775
Zn 0.000 0.000 0.000
P -2.382 -1.039 0.387
```


Which value of energy does entry 1 give?
-3.6523 eV/atom